No. 1
# LiMgRhCl6

An optimized crystal structure of LiMgRhCl6 (PBE, Alexandria).

a = 6.2235 Å, b = 6.2235 Å, c = 11.6448 Å
α = 90.00°, β = 90.00°, γ = 120.00°
Space group P-31c (No. 163)
Inequivalent atoms, fractional coordinates:
Li 0.0000 0.0000 0.0000 [2 per cell]
Mg 0.3333 0.6667 0.2500 [2 per cell]
Rh 0.3333 0.6667 0.7500 [2 per cell]
Cl 0.0163 0.3607 0.6327 [12 per cell]

Calculated values
The crystal system is trigonal. The uncorrected formation energy is -11.3 eV/f.u.

---

No. 2
# Ac2IrRu

An optimized crystal structure of Ac2IrRu (PBE, Alexandria).

a = 4.490 Å, b = 4.472 Å, c = 11.142 Å
α = 90.00°, β = 90.00°, γ = 90.00°
Space group Amm2 (No. 38)
Inequivalent atoms, fractional coordinates:
Ac 0.000 0.000 0.000 [2 per cell]
Ac 0.500 0.000 0.288 [2 per cell]
Ir 0.500 0.000 0.587 [2 per cell]
Ru 0.000 0.000 0.694 [2 per cell]

Calculated values
The crystal system is orthorhombic. Its formation enthalpy at 0 K is -28 kJ per mole of atoms.

---

No. 3
# TbTmSc

An optimized crystal structure of TbTmSc (PBE, Alexandria).

a = 3.358 Å, b = 3.377 Å, c = 15.590 Å
α = 90.00°, β = 90.00°, γ = 90.00°
Space group Pmmn (No. 59, origin choice 2)
Inequivalent atoms, fractional coordinates:
Tb 0.250 0.250 0.082 [2 per cell]
Tm 0.250 0.750 0.276 [2 per cell]
Sc 0.250 0.750 0.573 [2 per cell]

Calculated values
The crystal system is orthorhombic. The calculation puts the distance to the lowest polymorph of the same formula at 0.125 eV per atom. Its formation enthalpy at 0 K is 16 kJ per mole of atoms.

---

No. 4
# K3Tl2Au3

An optimized crystal structure of K3Tl2Au3 (PBE, Alexandria).

a = 4.956 Å, b = 12.505 Å, c = 16.224 Å
α = 90.00°, β = 90.00°, γ = 90.00°
Space group Cmcm (No. 63)
Inequivalent atoms, fractional coordinates:
K 0.000 0.075 0.115 [8 per cell]
K 0.000 0.371 0.250 [4 per cell]
Tl 0.000 0.217 0.586 [8 per cell]
Au 0.000 0.325 0.750 [4 per cell]
Au 0.000 0.396 0.032 [8 per cell]

Calculated values
The crystal system is orthorhombic. The calculation puts the distance to the lowest polymorph of the same formula at 0.000 eV per atom. Its formation enthalpy at 0 K is -25 kJ per mole of atoms.

---

no.,DFT total energy (eV/f.u.)
1,-33.264
2,-27.499
3,-14.925
4,-19.941